1.
Material: CsCBr
Method: DFT, PBE-GGA
State: optimized geometry

Unit cell a=11.4022 b=2.9738 c=10.5670 alpha=90.00 beta=90.00 gamma=90.00
Last column: nearest neighbours and their distance in Å.
Atoms (fractional coordinates):
1 Cs 0.1259 0.2500 0.2070  2 Cs 2.97
2 Cs 0.3741 0.7500 0.7070  2 Cs 2.97
3 Cs 0.6259 0.2500 0.2930  2 Cs 2.97
4 Cs 0.8741 0.7500 0.7930  2 Cs 2.97
5 C 0.9996 0.2500 0.5009  2 C 1.49
6 C 0.0004 0.7500 0.4991  2 C 1.49
7 C 0.4996 0.2500 0.9991  2 C 1.49
8 C 0.5004 0.7500 0.0009  2 C 1.49
9 Br 0.1438 0.2500 0.8751  2 Br 2.97
10 Br 0.3562 0.7500 0.3751  2 Br 2.97
11 Br 0.6438 0.2500 0.6249  2 Br 2.97
12 Br 0.8562 0.7500 0.1249  2 Br 2.97

Properties
Space-group type: Pnma
M_tot (μB/f.u.): 0.0
ΔE_f (raw) (eV per atom): 0.08
Energy (eV per cell): -46.03

2.
Material: YMnSe
Method: DFT, PBE-GGA
State: optimized geometry

Unit cell a=3.8850 b=3.8850 c=5.3824 alpha=90.00 beta=90.00 gamma=120.00
Last column: nearest neighbours and their distance in Å.
Atoms (fractional coordinates):
1 Y 0.0000 0.0000 0.0000  3 Se 2.88, 3 Mn 3.20
2 Mn 0.6667 0.3333 0.4241  3 Se 2.59
3 Se 0.3333 0.6667 0.6633  3 Mn 2.59, 3 Y 2.88

Properties
Space-group type: P3m1
M_tot (μB/f.u.): 3.9
ΔE_f (raw) (eV per atom): -0.50
Energy (eV per cell): -20.63

3.
Material: VHgTe4
Method: DFT, PBE-GGA
State: optimized geometry

Unit cell a=7.3806 b=7.3806 c=6.4812 alpha=99.84 beta=99.84 gamma=99.44
Last column: nearest neighbours and their distance in Å.
Atoms (fractional coordinates):
1 V 0.0011 0.9989 0.7500  8 Te 2.76-2.83
2 V 0.9989 0.0011 0.2500  8 Te 2.76-2.83
3 Hg 0.4458 0.5542 0.7500  4 Te 3.07-3.35
4 Hg 0.5542 0.4458 0.2500  4 Te 3.07-3.35
5 Te 0.1139 0.7273 0.4715  2 V 2.79-2.83, 1 Te 2.99
6 Te 0.1305 0.3064 0.0847  2 V 2.76-2.77, 1 Te 2.99, 1 Hg 3.07
7 Te 0.2727 0.8861 0.0285  2 V 2.79-2.83, 1 Te 2.99
8 Te 0.3064 0.1305 0.5847  2 V 2.76-2.77, 1 Te 2.99, 1 Hg 3.07
9 Te 0.6936 0.8695 0.4153  2 V 2.76-2.77, 1 Te 2.99, 1 Hg 3.07
10 Te 0.7273 0.1139 0.9715  2 V 2.79-2.83, 1 Te 2.99
11 Te 0.8695 0.6936 0.9153  2 V 2.76-2.77, 1 Te 2.99, 1 Hg 3.07
12 Te 0.8861 0.2727 0.5285  2 V 2.79-2.83, 1 Te 2.99

Properties
Space-group type: C2/c
M_tot (μB/f.u.): 0.0
ΔE_f (raw) (eV per atom): -0.11
Energy (eV per cell): -45.30

4.
Material: KMo2Br
Method: DFT, PBE-GGA
State: optimized geometry

Unit cell a=6.5787 b=6.5787 c=6.5787 alpha=151.37 beta=119.58 gamma=68.20
Last column: nearest neighbours and their distance in Å.
Atoms (fractional coordinates):
1 K 0.0000 0.0000 0.0000  2 K 3.25, 2 Br 3.35, 2 Mo 3.62
2 Mo 0.4816 0.4816 0.0000  2 Mo 2.33
3 Mo 0.6352 0.1352 0.5000  2 Mo 2.33
4 Br 0.2687 0.7687 0.5000  2 Mo 2.83

Properties
Space-group type: Imm2
M_tot (μB/f.u.): 0.0
ΔE_f (raw) (eV per atom): 0.75
Energy (eV per cell): -21.44

5.
Material: Zn3Cu8Ge
Method: DFT, PBE-GGA
State: optimized geometry

Unit cell a=6.3670 b=6.3670 c=6.3670 alpha=117.41 beta=117.41 gamma=94.54
Last column: nearest neighbours and their distance in Å.
Atoms (fractional coordinates):
1 Zn 0.0000 0.0000 0.0000  8 Cu 2.34-2.54
2 Zn 0.2500 0.7500 0.5000  4 Cu 2.57
3 Zn 0.7500 0.2500 0.5000  4 Cu 2.57
4 Cu 0.1186 0.3902 0.0000  3 Cu 2.39-2.54, 1 Ge 2.47, 3 Zn 2.54-2.57
5 Cu 0.2431 0.2431 0.5005  1 Ge 2.34, 1 Zn 2.34, 2 Cu 2.39-2.43
6 Cu 0.2574 0.7569 0.0000  1 Ge 2.34, 1 Zn 2.34, 2 Cu 2.39-2.43
7 Cu 0.3902 0.1186 0.0000  3 Cu 2.39-2.54, 1 Ge 2.47, 3 Zn 2.54-2.57
8 Cu 0.6098 0.6098 0.7283  3 Cu 2.39-2.54, 1 Ge 2.47, 3 Zn 2.54-2.57
9 Cu 0.7426 0.7426 0.4995  1 Ge 2.34, 1 Zn 2.34, 2 Cu 2.39-2.43
10 Cu 0.7569 0.2574 0.0000  1 Ge 2.34, 1 Zn 2.34, 2 Cu 2.39-2.43
11 Cu 0.8814 0.8814 0.2717  3 Cu 2.39-2.54, 1 Ge 2.47, 3 Zn 2.54-2.57
12 Ge 0.5000 0.5000 0.0000  8 Cu 2.34-2.47

Properties
Space-group type: I-42m
M_tot (μB/f.u.): 0.0
Formation energy (eV/atom): 0.32
Energy (eV per cell): -37.39

6.
Material: Sr2PuCdS5
Method: DFT, PBE-GGA
State: optimized geometry

Unit cell a=8.9077 b=8.9077 c=12.7165 alpha=90.00 beta=90.00 gamma=153.32
Last column: nearest neighbours and their distance in Å.
Atoms (fractional coordinates):
1 Sr 0.1015 0.8985 0.5000  6 S 2.99-3.17
2 Sr 0.1266 0.8734 0.1342  8 S 3.01-3.30
3 Sr 0.8734 0.1266 0.6342  8 S 3.01-3.30
4 Sr 0.8985 0.1015 0.0000  6 S 2.99-3.17
5 Pu 0.2142 0.7858 0.8439  6 S 2.65-2.72
6 Pu 0.7858 0.2142 0.3439  6 S 2.65-2.72
7 Cd 0.4550 0.5450 0.2769  3 S 2.46-2.53
8 Cd 0.5450 0.4550 0.7769  3 S 2.46-2.53
9 S 0.0623 0.9377 0.8899  2 Cd 2.53, 1 Pu 2.70
10 S 0.2791 0.7209 0.4837  2 Pu 2.72
11 S 0.3002 0.6998 0.2058  2 Pu 2.72, 1 Cd 2.83
12 S 0.3663 0.6337 0.8243  1 Pu 2.65
13 S 0.4971 0.5029 0.5947  1 Cd 2.46
14 S 0.5029 0.4971 0.0947  1 Cd 2.46
15 S 0.6337 0.3663 0.3243  1 Pu 2.65
16 S 0.6998 0.3002 0.7058  2 Pu 2.72, 1 Cd 2.83
17 S 0.7209 0.2791 0.9837  2 Pu 2.72
18 S 0.9377 0.0623 0.3899  2 Cd 2.53, 1 Pu 2.70

Properties
Space-group type: Cmc2_1
M_tot (μB/f.u.): 4.0
ΔE_f (raw) (eV per atom): -1.53
Energy (eV per cell): -106.07

energy of number 1 (CsCBr)? -46.03 eV per cell

The highest M_tot belongs to which entry? Sr2PuCdS5

Look up the M_tot of the third one. 0.0 μB/f.u.

energy of number 3 (VHgTe4)? -45.30 eV per cell